This record from Alexandria describes Cs3RbF after structural relaxation. The functional is PBE.

Values from the calculation:
ρ   2.02 g/cm³
Uncorrected formation energy   -5.2 eV/f.u.
ΔE to the lowest computed polymorph   0.0 kJ per mole of atoms
Raw total energy   -42.5 eV/cell

Lattice parameters (Å, degrees): 9.1033 10.4816 17.5525 90.00 99.74 90.00
Last column: nearest neighbours and their distance in Å.
Atoms (fractional coordinates):
F 0.9443 0.3717 0.0653  4 Cs 2.80-2.87
F 0.0557 0.6283 0.9347  4 Cs 2.80-2.87
F 0.0557 0.8717 0.4347  4 Cs 2.80-2.87
F 0.9443 0.1283 0.5653  4 Cs 2.80-2.87
Cs 0.6766 0.3715 0.1248  1 F 2.81
Cs 0.3234 0.8715 0.3752  1 F 2.81
Cs 0.8926 0.3955 0.9002  2 F 2.87
Cs 0.1148 0.1558 0.1161  1 F 2.80
Cs 0.3234 0.6285 0.8752  1 F 2.81
Cs 0.1074 0.8955 0.5998  2 F 2.87
Cs 0.1148 0.3442 0.6161  1 F 2.80
Cs 0.8926 0.1045 0.4002  2 F 2.87
Cs 0.1074 0.6045 0.0998  2 F 2.87
Cs 0.8852 0.8442 0.8839  1 F 2.80
Cs 0.8852 0.6558 0.3839  1 F 2.80
Cs 0.6766 0.1285 0.6248  1 F 2.81
Rb 0.6108 0.8784 0.1281  11 Cs 5.20-5.55, 1 Rb 5.27
Rb 0.3892 0.1216 0.8719  11 Cs 5.20-5.55, 1 Rb 5.27
Rb 0.6108 0.6216 0.6281  11 Cs 5.20-5.55, 1 Rb 5.27
Rb 0.3892 0.3784 0.3719  11 Cs 5.20-5.55, 1 Rb 5.27